The following is a DFT calculation (PBE) of an optimized crystal structure of IrC.

Calculated values
DOS at the Fermi energy   1.09 states/eV/f.u.
Total energy   -7.94 eV/atom

a = 3.1000 Å, b = 3.1000 Å, c = 5.1801 Å
α = 90.00°, β = 90.00°, γ = 120.00°
Positions (direct):
1 C 0.3333 0.6667 0.2500
2 C 0.6667 0.3333 0.7500
3 Ir 0.0000 0.0000 0.0000
4 Ir 0.0000 0.0000 0.5000

The following is a DFT calculation (PBE) of an optimized crystal structure of LiPPb2Au.

Calculated values
DOS at the Fermi energy   1.91 states/eV/f.u.
Total energy   -3.28 eV/atom

a = 5.4767 Å, b = 4.6476 Å, c = 5.4767 Å
α = 90.00°, β = 90.00°, γ = 90.00°
Positions (direct):
1 Pb 0.0000 0.0000 0.5000
2 Pb 0.5000 0.0000 0.0000
3 P 0.5000 0.5000 0.5000
4 Au 0.0000 0.0000 0.0000
5 Li 0.0000 0.5000 0.0000

The following is a DFT calculation (PBE) of an optimized crystal structure of TaCdCu2P.

Calculated values
DOS at the Fermi energy   3.08 states/eV/f.u.
Total energy   -4.36 eV/atom

a = 4.2525 Å, b = 5.0058 Å, c = 4.2525 Å
α = 90.00°, β = 90.00°, γ = 90.00°
Positions (direct):
1 P 0.0000 0.0000 0.0000
2 Cd 0.0000 0.5000 0.0000
3 Cu 0.0000 0.0000 0.5000
4 Cu 0.5000 0.0000 0.0000
5 Ta 0.5000 0.5000 0.5000

The following is a DFT calculation (PBE) of an optimized crystal structure of LiHAu2.

Calculated values
DOS at the Fermi energy   0.92 states/eV/f.u.
Total energy   -2.89 eV/atom

a = 5.3570 Å, b = 5.3570 Å, c = 6.4242 Å
α = 65.36°, β = 65.36°, γ = 90.00°
Positions (direct):
1 H 0.5000 0.5000 0.0000
2 H 0.2500 0.7500 0.5000
3 Au 0.3744 0.1250 0.2500
4 Au 0.3756 0.6250 0.2500
5 Au 0.3750 0.6256 0.7500
6 Au 0.8750 0.6244 0.7500
7 Li 0.0000 0.0000 0.0000
8 Li 0.7500 0.2500 0.5000

The following is a DFT calculation (PBE) of an optimized crystal structure of Y3ScBe.

Calculated values
DOS at the Fermi energy   4.31 states/eV/f.u.
Total energy   -5.57 eV/atom

a = 5.2682 Å, b = 5.2682 Å, c = 5.2682 Å
α = 90.00°, β = 90.00°, γ = 90.00°
Positions (direct):
1 Y 0.0000 0.5000 0.0000
2 Y 0.0000 0.0000 0.5000
3 Y 0.5000 0.0000 0.0000
4 Sc 0.5000 0.5000 0.5000
5 Be 0.0000 0.0000 0.0000

The following is a DFT calculation (PBE) of an optimized crystal structure of Co2PPt2.

Calculated values
DOS at the Fermi energy   6.15 states/eV/f.u.
Total energy   -5.86 eV/atom

a = 3.6317 Å, b = 3.6317 Å, c = 6.4343 Å
α = 73.61°, β = 73.61°, γ = 90.00°
Last column: magnetic moment on the atom in μB.
Positions (direct):
1 P 0.0000 0.0000 0.0000  -0.04
2 Co 0.4046 0.4046 0.1907  1.77
3 Co 0.5954 0.5954 0.8093  1.77
4 Pt 0.7500 0.2500 0.5000  0.33
5 Pt 0.2500 0.7500 0.5000  0.33

The following is a DFT calculation (PBE) of an optimized crystal structure of LiY2PtC.

Calculated values
DOS at the Fermi energy   3.26 states/eV/f.u.
Total energy   -6.45 eV/atom

a = 4.8843 Å, b = 4.8843 Å, c = 3.9581 Å
α = 90.00°, β = 90.00°, γ = 90.00°
Positions (direct):
1 Y 0.0000 0.5000 0.0000
2 Y 0.5000 0.0000 0.0000
3 C 0.0000 0.0000 0.0000
4 Pt 0.5000 0.5000 0.5000
5 Li 0.0000 0.0000 0.5000

The following is a DFT calculation (PBE) of an optimized crystal structure of MgZn2Cd2.

Calculated values
DOS at the Fermi energy   2.09 states/eV/f.u.
Total energy   -1.14 eV/atom

a = 7.3159 Å, b = 7.3159 Å, c = 3.8188 Å
α = 90.00°, β = 90.00°, γ = 90.00°
Positions (direct):
1 Zn 0.3756 0.8756 0.0000
2 Zn 0.8756 0.6244 0.0000
3 Zn 0.6244 0.1244 0.0000
4 Zn 0.1244 0.3756 0.0000
5 Mg 0.0000 0.0000 0.0000
6 Mg 0.5000 0.5000 0.0000
7 Cd 0.1774 0.6774 0.5000
8 Cd 0.6774 0.8226 0.5000
9 Cd 0.8226 0.3226 0.5000
10 Cd 0.3226 0.1774 0.5000

The following is a DFT calculation (PBE) of an optimized crystal structure of YPaCoNi.

Calculated values
DOS at the Fermi energy   3.21 states/eV/f.u.
Total energy   -7.62 eV/atom

a = 3.5980 Å, b = 3.8108 Å, c = 6.0488 Å
α = 90.00°, β = 107.30°, γ = 90.00°
Positions (direct):
1 Y 0.1510 0.0000 0.3020
2 Pa 0.8846 0.5000 0.7693
3 Co 0.4033 0.0000 0.8067
4 Ni 0.5611 0.5000 0.1221

The following is a DFT calculation (PBE) of an optimized crystal structure of Pr4PtAuS2.

Calculated values
DOS at the Fermi energy   8.22 states/eV/f.u.
Raw formation energy   -1.378 eV/atom
Total energy   -5.96 eV/atom

a = 4.1220 Å, b = 7.6190 Å, c = 7.1644 Å
α = 72.01°, β = 90.00°, γ = 90.00°
Positions (direct):
1 Pr 0.0000 0.7518 0.7551
2 Pr 0.0000 0.2482 0.2449
3 Pr 0.5000 0.7580 0.2395
4 Pr 0.5000 0.2420 0.7605
5 Pt 0.5000 0.5000 0.0000
6 Au 0.0000 0.5000 0.5000
7 S 0.0000 0.0000 0.0000
8 S 0.5000 0.0000 0.5000

The following is a DFT calculation (PBE) of an optimized crystal structure of CsMg2BiCl8.

Calculated values
DOS at the Fermi energy   0.00 states/eV/f.u.
Raw formation energy   -1.554 eV/atom
Total energy   -3.45 eV/atom

a = 6.6256 Å, b = 6.6256 Å, c = 11.3120 Å
α = 72.97°, β = 72.97°, γ = 60.00°
Positions (direct):
1 Cs 0.5000 0.5000 0.5000
2 Mg 0.2576 0.2576 0.2272
3 Mg 0.7424 0.7424 0.7728
4 Bi 0.0000 0.0000 0.0000
5 Cl 0.1861 0.1861 0.4416
6 Cl 0.6202 0.2878 0.1522
7 Cl 0.8139 0.8139 0.5584
8 Cl 0.9398 0.6202 0.1522
9 Cl 0.0602 0.3798 0.8478
10 Cl 0.2878 0.9398 0.1522
11 Cl 0.7122 0.0602 0.8478
12 Cl 0.3798 0.7122 0.8478

The following is a DFT calculation (PBE) of an optimized crystal structure of NbAlNi4.

Calculated values
DOS at the Fermi energy   6.41 states/eV/f.u.
Total energy   -6.46 eV/atom

a = 4.7422 Å, b = 4.7422 Å, c = 4.7422 Å
α = 60.00°, β = 60.00°, γ = 60.00°
Positions (direct):
1 Ni 0.6251 0.6251 0.1246
2 Ni 0.6251 0.1246 0.6251
3 Ni 0.6251 0.6251 0.6251
4 Ni 0.1246 0.6251 0.6251
5 Nb 0.2500 0.2500 0.2500
6 Al 0.0000 0.0000 0.0000

The following is a DFT calculation (PBE) of an optimized crystal structure of CeThPdRh.

Calculated values
DOS at the Fermi energy   8.32 states/eV/f.u.
Total energy   -7.13 eV/atom

a = 5.0376 Å, b = 5.0376 Å, c = 5.0376 Å
α = 60.00°, β = 60.00°, γ = 60.00°
Last column: magnetic moment on the atom in μB.
Positions (direct):
1 Pd 0.0000 0.0000 0.0000  0.00
2 Rh 0.5000 0.5000 0.5000  -0.04
3 Ce 0.7500 0.7500 0.7500  0.58
4 Th 0.2500 0.2500 0.2500  0.08

The following is a DFT calculation (PBE) of an optimized crystal structure of Ac2InPPd6.

Calculated values
DOS at the Fermi energy   6.23 states/eV/f.u.
Total energy   -5.48 eV/atom

a = 6.3774 Å, b = 7.3584 Å, c = 6.3753 Å
α = 64.38°, β = 60.01°, γ = 89.96°
Positions (direct):
1 Ac 0.7365 0.2093 0.5272
2 Ac 0.2635 0.7907 0.4728
3 In 0.0000 0.0000 0.0000
4 P 0.5000 0.5000 0.0000
5 Pd 0.2602 0.3330 0.4800
6 Pd 0.7401 0.6661 0.0741
7 Pd 0.1849 0.6653 0.0747
8 Pd 0.8151 0.3347 0.9253
9 Pd 0.2599 0.3339 0.9259
10 Pd 0.7398 0.6670 0.5200

The following is a DFT calculation (PBE) of an optimized crystal structure of TaZnIr2.

Calculated values
DOS at the Fermi energy   2.47 states/eV/f.u.
Total energy   -7.87 eV/atom

a = 2.7795 Å, b = 2.7795 Å, c = 8.9058 Å
α = 90.00°, β = 90.00°, γ = 115.62°
Positions (direct):
1 Ir 0.0000 0.0000 0.9955
2 Ir 0.0000 0.0000 0.5045
3 Ta 0.5000 0.5000 0.2500
4 Zn 0.5000 0.5000 0.7500

The following is a DFT calculation (PBE) of an optimized crystal structure of K2YRh.

Calculated values
DOS at the Fermi energy   2.53 states/eV/f.u.
Total energy   -3.96 eV/atom

a = 4.1363 Å, b = 4.1363 Å, c = 11.4375 Å
α = 79.84°, β = 79.84°, γ = 59.91°
Positions (direct):
1 K 0.9870 0.9870 0.0291
2 K 0.7821 0.7821 0.6607
3 Rh 0.5141 0.5141 0.4602
4 Y 0.2167 0.2167 0.3500

The following is a DFT calculation (PBE) of an optimized crystal structure of TbLu3C.

Calculated values
DOS at the Fermi energy   5.06 states/eV/f.u.
Total energy   -5.53 eV/atom

a = 4.9278 Å, b = 4.9278 Å, c = 4.9278 Å
α = 90.00°, β = 90.00°, γ = 90.00°
Positions (direct):
1 C 0.0000 0.0000 0.0000
2 Lu 0.0000 0.5000 0.0000
3 Lu 0.0000 0.0000 0.5000
4 Lu 0.5000 0.0000 0.0000
5 Tb 0.5000 0.5000 0.5000

The following is a DFT calculation (PBE) of an optimized crystal structure of FeBiTe3.

Calculated values
DOS at the Fermi energy   15.64 states/eV/f.u.
Raw formation energy   1.114 eV/atom
Total energy   -3.24 eV/atom

a = 5.8696 Å, b = 5.8696 Å, c = 5.8696 Å
α = 90.00°, β = 90.00°, γ = 90.00°
Last column: magnetic moment on the atom in μB.
Positions (direct):
1 Te 0.0000 0.5000 0.0000  0.01
2 Te 0.0000 0.0000 0.5000  -0.01
3 Te 0.5000 0.0000 0.0000  -0.03
4 Bi 0.0000 0.0000 0.0000  0.00
5 Fe 0.5000 0.5000 0.5000  3.41

The following is a DFT calculation (PBE) of an optimized crystal structure of LaTlCo2.

Calculated values
DOS at the Fermi energy   5.03 states/eV/f.u.
Total energy   -5.22 eV/atom

a = 3.2565 Å, b = 3.2565 Å, c = 7.4379 Å
α = 90.00°, β = 90.00°, γ = 90.00°
Last column: magnetic moment on the atom in μB.
Positions (direct):
1 Co 0.0000 0.0000 0.0591  1.56
2 Co 0.5000 0.5000 0.1816  1.46
3 La 0.0000 0.0000 0.4479  -0.20
4 Tl 0.5000 0.5000 0.8114  -0.02

The following is a DFT calculation (PBE) of an optimized crystal structure of MoPRh2.

Calculated values
DOS at the Fermi energy   4.17 states/eV/f.u.
Total energy   -7.78 eV/atom

a = 4.6534 Å, b = 4.6534 Å, c = 2.8153 Å
α = 90.00°, β = 90.00°, γ = 111.02°
Positions (direct):
1 Mo 0.0000 0.0000 0.5000
2 P 0.5000 0.5000 0.5000
3 Rh 0.5000 0.0000 0.0000
4 Rh 0.0000 0.5000 0.0000